# 1
P2WCl, relaxed, DFT GGA-PBE; theoretical density = 7.81 g cm⁻³; spin magnetization = 0.00 Bohr magnetons per cell; formation energy (no corrections) = 3.5 eV per formula unit; relative energy among the computed polymorphs = 1004 meV/atom
1.0
-0.0555 -0.7561 2.8706
4.1356 -1.4524 -0.3026
1.5448 4.1638 1.1266
Cl P W
1 2 1
direct
0.0000 0.5000 0.5000
0.5000 0.5000 0.0000
0.0000 0.0000 0.0000
0.5000 0.0000 0.5000

***

# 2
MnAuCl2, relaxed, DFT GGA-PBE; theoretical density = 4.93 g cm⁻³; spin magnetization = 4.31 Bohr magnetons per cell; formation energy (no corrections) = -1.4 eV per formula unit; relative energy among the computed polymorphs = 94 meV/atom
1.0
3.1934 0.0000 0.0000
0.0000 6.7611 0.8331
0.0000 3.9883 5.5241
Cl Mn Au
2 1 1
direct
0.0000 0.1116 0.1115
0.0000 0.3884 0.3885
0.5000 0.2500 0.2500
0.5000 0.7500 0.7500

***

# 3
SrIrPt2, relaxed, DFT GGA-PBE; theoretical density = 15.41 g cm⁻³; energy of formation = 0.375 eV per atom; spin magnetization = 0.74 Bohr magnetons per cell; relative energy among the computed polymorphs = 471 meV/atom
1.0
-8.9903 1.8497 3.6154
-7.9859 0.1633 5.7894
-7.4020 3.0335 5.7730
Pt Sr Ir
2 1 1
direct
0.0082 0.0082 0.0082
0.4918 0.4918 0.4918
0.2500 0.2500 0.2500
0.7500 0.7500 0.7500

***

# 4
PrCd9Pt2, relaxed, DFT GGA-PBE; theoretical density = 9.84 g cm⁻³; energy of formation = -0.258 eV per atom; spin magnetization = 0.00 Bohr magnetons per cell
1.0
-5.6634 -0.6459 4.9661
-7.4668 -4.0760 -3.2911
0.1270 -7.6933 4.8985
Cd Pr Pt
18 2 4
direct
0.7473 0.8199 0.5786
0.0000 0.0000 0.0000
0.0027 0.6801 0.9214
0.3172 0.0786 0.6801
0.0027 0.9214 0.6801
0.7500 0.5000 0.5000
0.1457 0.4214 0.1801
0.1457 0.1801 0.4214
0.0759 0.9214 0.3199
0.7473 0.5786 0.8199
0.6741 0.5786 0.1801
0.6043 0.3199 0.0786
0.0759 0.3199 0.9214
0.3172 0.6801 0.0786
0.6741 0.1801 0.5786
0.4328 0.8199 0.4214
0.6043 0.0786 0.3199
0.4328 0.4214 0.8199
0.5000 0.0000 0.0000
0.2500 0.5000 0.5000
0.8750 0.7500 0.2500
0.8750 0.2500 0.2500
0.3750 0.7500 0.7500
0.8750 0.2500 0.7500